1.
{"formula": "ZnCrFe2", "functional": "PBE", "state": "relaxed", "lattice": [[-2.457, 0.491, 3.783], [2.038, -1.912, 3.575], [1.407, 2.908, -3.187]], "species": ["Fe", "Fe", "Zn", "Cr"], "fractional_positions": [[0.250, 0.750, 0.500], [0.000, 0.000, 0.000], [0.500, 0.500, 0.000], [0.750, 0.250, 0.500]], "e_form_ev_per_atom": 0.14, "final_energy_ev_per_cell": -27.28, "m_tot_mub_per_atom": 0.355, "n_ef_per_ev_cell": 3.34}

---

2.
{"formula": "Zn2CrFe", "functional": "PBE", "state": "relaxed", "lattice": [[8.850, -0.004, -0.002], [8.468, 2.573, -0.002], [8.468, 1.256, 2.245]], "species": ["Zn", "Zn", "Cr", "Fe"], "fractional_positions": [[0.499, 0.499, 0.499], [0.001, 0.001, 0.001], [0.250, 0.250, 0.250], [0.750, 0.750, 0.750]], "e_form_ev_per_atom": 0.20, "final_energy_ev_per_cell": -19.82, "m_tot_mub_per_atom": 0.702, "n_ef_per_ev_cell": 3.04, "e_above_lowest_polymorph_mev_per_atom": 139}

---

3.
{"formula": "ZnCrFe2", "functional": "PBE", "state": "relaxed", "lattice": [[2.541, 0.000, 0.000], [1.271, 2.201, 0.000], [1.271, 0.734, 8.353]], "species": ["Zn", "Fe", "Fe", "Cr"], "fractional_positions": [[0.500, 0.500, 0.499], [0.080, 0.080, 0.761], [0.254, 0.254, 0.238], [0.666, 0.666, 0.003]], "e_form_ev_per_atom": 0.14, "final_energy_ev_per_cell": -27.25, "m_tot_mub_per_atom": 0.442, "n_ef_per_ev_cell": 3.69}

---

4.
{"formula": "ZnCrFe2", "functional": "PBE", "state": "relaxed", "lattice": [[-0.498, 2.278, -1.095], [0.994, -1.309, -3.174], [-4.881, -1.503, -0.908]], "species": ["Zn", "Fe", "Fe", "Cr"], "fractional_positions": [[0.500, 0.500, 0.250], [0.000, 0.000, 0.511], [0.000, 0.000, 0.989], [0.500, 0.500, 0.750]], "e_form_ev_per_atom": 0.12, "final_energy_ev_per_cell": -27.34, "m_tot_mub_per_atom": 0.528, "n_ef_per_ev_cell": 4.16}

---

5.
{"formula": "ZnCrFe3", "functional": "PBE", "state": "relaxed", "lattice": [[-2.312, 3.220, 1.290], [-3.443, -2.319, -0.381], [0.423, -1.277, 3.946]], "species": ["Cr", "Fe", "Fe", "Fe", "Zn"], "fractional_positions": [[0.500, 0.500, 0.500], [0.000, 0.500, 0.000], [0.000, 0.000, 0.500], [0.500, 0.000, 0.000], [0.000, 0.000, 0.000]], "e_form_ev_per_atom": 1.90, "final_energy_ev_per_cell": -26.80, "m_tot_mub_per_atom": 0.000, "n_ef_per_ev_cell": 10.21, "e_above_lowest_polymorph_mev_per_atom": 802}

---

6.
{"formula": "ZnCrFe2", "functional": "PBE", "state": "relaxed", "lattice": [[4.092, 0.000, 0.000], [0.000, 2.459, 0.004], [0.000, 0.884, 4.762]], "species": ["Fe", "Fe", "Cr", "Zn"], "fractional_positions": [[0.000, 0.003, 0.992], [0.500, 0.227, 0.251], [0.500, 0.773, 0.765], [0.000, 0.497, 0.491]], "e_form_ev_per_atom": 0.14, "final_energy_ev_per_cell": -27.28, "m_tot_mub_per_atom": 0.942, "n_ef_per_ev_cell": 3.42}

---

7.
{"formula": "Zn2CrFe", "functional": "PBE", "state": "relaxed", "lattice": [[2.782, 0.000, 0.000], [0.000, 2.782, 0.000], [0.000, 0.000, 6.511]], "species": ["Zn", "Zn", "Cr", "Fe"], "fractional_positions": [[0.000, 0.000, 0.981], [0.500, 0.500, 0.263], [0.000, 0.000, 0.532], [0.500, 0.500, 0.725]], "e_form_ev_per_atom": 0.06, "final_energy_ev_per_cell": -20.38, "m_tot_mub_per_atom": 0.017, "n_ef_per_ev_cell": 1.22, "e_above_lowest_polymorph_mev_per_atom": 0}

---

8.
{"formula": "ZnCrFe2", "functional": "PBE", "state": "relaxed", "lattice": [[-1.884, -1.158, 1.119], [1.734, 0.404, 1.725], [-3.413, 7.235, 1.736]], "species": ["Fe", "Fe", "Cr", "Zn"], "fractional_positions": [[0.500, 0.500, 0.240], [0.000, 0.000, 0.000], [0.500, 0.500, 0.762], [0.000, 0.000, 0.498]], "e_form_ev_per_atom": 0.09, "final_energy_ev_per_cell": -27.47, "m_tot_mub_per_atom": 1.006, "n_ef_per_ev_cell": 2.53}

---

9.
{"formula": "ZnCrFe2", "functional": "PBE", "state": "relaxed", "lattice": [[-4.908, -6.014, -3.606], [-2.650, -7.197, -3.799], [-4.009, -7.381, -1.642]], "species": ["Fe", "Fe", "Zn", "Cr"], "fractional_positions": [[0.001, 0.001, 0.001], [0.253, 0.253, 0.253], [0.501, 0.501, 0.501], [0.744, 0.744, 0.744]], "e_form_ev_per_atom": 0.16, "final_energy_ev_per_cell": -27.17, "m_tot_mub_per_atom": 0.663, "n_ef_per_ev_cell": 5.11}

---

10.
{"formula": "ZnCr2Fe2", "functional": "PBE", "state": "relaxed", "lattice": [[-1.300, 5.217, -4.315], [0.424, -4.323, -5.354], [-2.490, -0.470, 0.182]], "species": ["Fe", "Fe", "Fe", "Fe", "Cr", "Cr", "Cr", "Cr", "Zn", "Zn"], "fractional_positions": [[0.146, 0.646, 0.500], [0.354, 0.146, 0.500], [0.646, 0.854, 0.500], [0.854, 0.354, 0.500], [0.643, 0.143, 0.000], [0.857, 0.643, 0.000], [0.357, 0.857, 0.000], [0.143, 0.357, 0.000], [0.500, 0.500, 0.000], [0.000, 0.000, 0.000]], "e_form_ev_per_atom": 0.28, "final_energy_ev_per_cell": -72.09, "m_tot_mub_per_atom": 0.000, "n_ef_per_ev_cell": 8.49, "e_above_lowest_polymorph_mev_per_atom": 99}

---

11.
{"formula": "ZnCrFe2", "functional": "PBE", "state": "relaxed", "lattice": [[-0.072, -0.699, 2.358], [0.744, -2.254, -0.645], [7.415, 2.198, 0.877]], "species": ["Cr", "Fe", "Fe", "Zn"], "fractional_positions": [[0.500, 0.500, 0.759], [0.500, 0.500, 0.238], [0.000, 0.000, 0.009], [0.000, 0.000, 0.493]], "e_form_ev_per_atom": 0.15, "final_energy_ev_per_cell": -27.23, "m_tot_mub_per_atom": 0.048, "n_ef_per_ev_cell": 2.94}

---

12.
{"formula": "ZnCrFe2", "functional": "PBE", "state": "relaxed", "lattice": [[-1.757, -4.238, -4.373], [-3.299, -3.164, 4.392], [-4.558, -2.316, -0.518]], "species": ["Zn", "Zn", "Fe", "Fe", "Fe", "Fe", "Cr", "Cr"], "fractional_positions": [[0.000, 0.000, 0.000], [0.750, 0.250, 0.500], [0.170, 0.625, 0.250], [0.375, 0.420, 0.750], [0.875, 0.830, 0.750], [0.580, 0.125, 0.250], [0.500, 0.500, 0.000], [0.250, 0.750, 0.500]], "e_form_ev_per_atom": 0.58, "final_energy_ev_per_cell": -50.99, "m_tot_mub_per_atom": 0.000, "n_ef_per_ev_cell": 3.02}

---

13.
{"formula": "Zn2CrFe", "functional": "PBE", "state": "relaxed", "lattice": [[4.708, -0.050, -0.037], [-2.811, 5.043, 0.063], [0.025, 1.248, 2.180]], "species": ["Zn", "Zn", "Fe", "Cr"], "fractional_positions": [[0.000, 0.500, 0.500], [0.000, 0.000, 0.000], [0.500, 0.000, 0.500], [0.500, 0.500, 0.000]], "e_form_ev_per_atom": 0.16, "final_energy_ev_per_cell": -20.00, "m_tot_mub_per_atom": 0.837, "n_ef_per_ev_cell": 2.71, "e_above_lowest_polymorph_mev_per_atom": 95}

---

14.
{"formula": "Zn2CrFe", "functional": "PBE", "state": "relaxed", "lattice": [[-2.690, 3.223, 7.809], [-0.615, 1.898, 8.638], [-0.336, 4.318, 7.736]], "species": ["Zn", "Zn", "Fe", "Cr"], "fractional_positions": [[0.245, 0.245, 0.245], [0.007, 0.007, 0.007], [0.756, 0.756, 0.756], [0.492, 0.492, 0.492]], "e_form_ev_per_atom": 0.13, "final_energy_ev_per_cell": -20.10, "m_tot_mub_per_atom": 0.080, "n_ef_per_ev_cell": 3.09, "e_above_lowest_polymorph_mev_per_atom": 70}

---

15.
{"formula": "Zn2CrFe", "functional": "PBE", "state": "relaxed", "lattice": [[3.657, 0.000, 0.000], [0.000, 3.821, 0.000], [0.000, 0.000, 3.821]], "species": ["Zn", "Zn", "Cr", "Fe"], "fractional_positions": [[0.000, 0.000, 0.000], [0.000, 0.500, 0.500], [0.500, 0.500, 0.000], [0.500, 0.000, 0.500]], "e_form_ev_per_atom": 0.17, "final_energy_ev_per_cell": -19.96, "m_tot_mub_per_atom": 1.278, "n_ef_per_ev_cell": 2.63, "e_above_lowest_polymorph_mev_per_atom": 105}

---

16.
{"formula": "ZnCrFe2", "functional": "PBE", "state": "relaxed", "lattice": [[4.496, -0.002, 0.011], [3.755, 2.473, 0.011], [0.841, 0.252, 4.323]], "species": ["Cr", "Fe", "Fe", "Zn"], "fractional_positions": [[0.258, 0.258, 0.227], [0.000, 0.000, 0.011], [0.744, 0.744, 0.749], [0.498, 0.498, 0.513]], "e_form_ev_per_atom": 0.15, "final_energy_ev_per_cell": -27.22, "m_tot_mub_per_atom": 0.609, "n_ef_per_ev_cell": 4.05}

---

17.
{"formula": "ZnCr3Fe", "functional": "PBE", "state": "relaxed", "lattice": [[4.568, 0.000, 0.000], [0.000, 4.568, 0.000], [0.000, 0.000, 4.568]], "species": ["Cr", "Cr", "Cr", "Zn", "Fe"], "fractional_positions": [[0.500, 0.000, 0.000], [0.000, 0.000, 0.500], [0.000, 0.500, 0.000], [0.000, 0.000, 0.000], [0.500, 0.500, 0.500]], "e_form_ev_per_atom": 1.91, "final_energy_ev_per_cell": -29.06, "m_tot_mub_per_atom": 2.341, "n_ef_per_ev_cell": 14.26, "e_above_lowest_polymorph_mev_per_atom": 820}

---

18.
{"formula": "ZnCrFe2", "functional": "PBE", "state": "relaxed", "lattice": [[-2.185, 3.698, 1.206], [-2.321, -2.092, -3.185], [-1.259, -1.328, 1.789]], "species": ["Fe", "Fe", "Cr", "Zn"], "fractional_positions": [[0.000, 0.000, 0.000], [0.500, 0.500, 0.000], [0.000, 0.500, 0.500], [0.500, 0.000, 0.500]], "e_form_ev_per_atom": 0.16, "final_energy_ev_per_cell": -27.19, "m_tot_mub_per_atom": 0.622, "n_ef_per_ev_cell": 3.32}

---

19.
{"formula": "Zn2CrFe", "functional": "PBE", "state": "relaxed", "lattice": [[4.408, 0.004, -0.003], [3.682, 2.424, -0.003], [0.482, 0.145, 4.733]], "species": ["Zn", "Zn", "Cr", "Fe"], "fractional_positions": [[0.002, 0.002, 0.009], [0.250, 0.250, 0.241], [0.501, 0.501, 0.526], [0.748, 0.748, 0.723]], "e_form_ev_per_atom": 0.17, "final_energy_ev_per_cell": -19.94, "m_tot_mub_per_atom": 0.399, "n_ef_per_ev_cell": 2.85, "e_above_lowest_polymorph_mev_per_atom": 109}

---

20.
{"formula": "Zn2CrFe", "functional": "PBE", "state": "relaxed", "lattice": [[-0.839, 4.255, -5.109], [2.316, -4.640, -4.245], [-1.574, -1.045, -5.007]], "species": ["Fe", "Fe", "Zn", "Zn", "Zn", "Zn", "Cr", "Cr"], "fractional_positions": [[0.750, 0.250, 0.500], [0.000, 0.000, 0.000], [0.119, 0.625, 0.250], [0.631, 0.125, 0.250], [0.875, 0.881, 0.750], [0.375, 0.369, 0.750], [0.250, 0.750, 0.500], [0.500, 0.500, 0.000]], "e_form_ev_per_atom": 0.67, "final_energy_ev_per_cell": -35.95, "m_tot_mub_per_atom": 0.624, "n_ef_per_ev_cell": 8.61, "e_above_lowest_polymorph_mev_per_atom": 601}

---

21.
{"formula": "ZnCr2Fe2", "functional": "PBE", "state": "relaxed", "lattice": [[6.783, 0.000, 0.000], [0.000, 6.783, 0.000], [0.000, 0.000, 2.577]], "species": ["Fe", "Fe", "Fe", "Fe", "Cr", "Cr", "Cr", "Cr", "Zn", "Zn"], "fractional_positions": [[0.371, 0.871, 0.000], [0.629, 0.129, 0.000], [0.129, 0.371, 0.000], [0.871, 0.629, 0.000], [0.836, 0.336, 0.500], [0.664, 0.836, 0.500], [0.164, 0.664, 0.500], [0.336, 0.164, 0.500], [0.500, 0.500, 0.000], [0.000, 0.000, 0.000]], "e_form_ev_per_atom": 0.18, "final_energy_ev_per_cell": -73.07, "m_tot_mub_per_atom": 0.000, "n_ef_per_ev_cell": 8.20, "e_above_lowest_polymorph_mev_per_atom": 0}

---

22.
{"formula": "ZnCrFe2", "functional": "PBE", "state": "relaxed", "lattice": [[2.521, 0.000, 0.000], [0.000, 3.721, 0.000], [0.000, 0.000, 5.067]], "species": ["Fe", "Fe", "Cr", "Zn"], "fractional_positions": [[0.500, 0.500, 0.242], [0.000, 0.000, 0.991], [0.500, 0.500, 0.775], [0.000, 0.000, 0.492]], "e_form_ev_per_atom": 0.17, "final_energy_ev_per_cell": -27.14, "m_tot_mub_per_atom": 0.646, "n_ef_per_ev_cell": 5.06}

---

23.
{"formula": "Zn4CrFe", "functional": "PBE", "state": "relaxed", "lattice": [[-1.656, -3.914, 2.491], [-4.064, -2.340, -1.508], [0.339, -4.500, -1.975]], "species": ["Fe", "Zn", "Zn", "Zn", "Zn", "Cr"], "fractional_positions": [[0.000, 0.000, 0.000], [0.125, 0.625, 0.625], [0.625, 0.625, 0.625], [0.625, 0.125, 0.625], [0.625, 0.625, 0.125], [0.250, 0.250, 0.250]], "e_form_ev_per_atom": 0.24, "final_energy_ev_per_cell": -21.77, "m_tot_mub_per_atom": 0.926, "n_ef_per_ev_cell": 8.46}

---

24.
{"formula": "Zn2CrFe", "functional": "PBE", "state": "relaxed", "lattice": [[-1.016, -2.251, 3.826], [3.889, -0.798, 2.231], [-1.704, 3.853, -1.730]], "species": ["Fe", "Cr", "Zn", "Zn"], "fractional_positions": [[0.750, 0.250, 0.500], [0.250, 0.750, 0.500], [0.500, 0.500, 0.000], [0.000, 0.000, 0.000]], "e_form_ev_per_atom": 0.19, "final_energy_ev_per_cell": -19.87, "m_tot_mub_per_atom": 1.174, "n_ef_per_ev_cell": 4.08, "e_above_lowest_polymorph_mev_per_atom": 127}

---

25.
{"formula": "ZnCrFe2", "functional": "PBE", "state": "relaxed", "lattice": [[-1.091, 0.375, -2.194], [-1.830, -0.271, 1.650], [0.033, 7.981, 1.349]], "species": ["Fe", "Fe", "Zn", "Cr"], "fractional_positions": [[0.000, 0.000, 0.991], [0.000, 0.000, 0.509], [0.500, 0.500, 0.250], [0.500, 0.500, 0.750]], "e_form_ev_per_atom": 0.07, "final_energy_ev_per_cell": -27.53, "m_tot_mub_per_atom": 0.992, "n_ef_per_ev_cell": 3.30}

---

26.
{"formula": "ZnCr4Fe", "functional": "PBE", "state": "relaxed", "lattice": [[4.629, 0.001, -0.836], [2.450, -4.003, 0.322], [1.689, -2.044, -3.886]], "species": ["Fe", "Cr", "Cr", "Cr", "Cr", "Zn"], "fractional_positions": [[0.750, 0.750, 0.750], [0.374, 0.374, 0.374], [0.374, 0.374, 0.877], [0.374, 0.877, 0.374], [0.877, 0.374, 0.374], [0.000, 0.000, 0.000]], "e_form_ev_per_atom": 0.28, "final_energy_ev_per_cell": -46.55, "m_tot_mub_per_atom": 0.261, "n_ef_per_ev_cell": 4.23}

---

27.
{"formula": "Zn2CrFe", "functional": "PBE", "state": "relaxed", "lattice": [[-2.283, -3.426, -0.142], [-3.893, 0.061, 1.347], [-3.113, -0.291, -2.683]], "species": ["Cr", "Zn", "Zn", "Fe"], "fractional_positions": [[0.000, 0.000, 0.000], [0.250, 0.250, 0.250], [0.750, 0.750, 0.750], [0.500, 0.500, 0.500]], "e_form_ev_per_atom": 0.42, "final_energy_ev_per_cell": -18.94, "m_tot_mub_per_atom": 0.001, "n_ef_per_ev_cell": 8.89, "e_above_lowest_polymorph_mev_per_atom": 359}

---

28.
{"formula": "ZnCrFe2", "functional": "PBE", "state": "relaxed", "lattice": [[2.948, 0.000, 0.000], [0.000, 2.948, 0.000], [0.000, 0.000, 5.621]], "species": ["Fe", "Fe", "Zn", "Cr"], "fractional_positions": [[0.500, 0.500, 0.231], [0.000, 0.000, 0.995], [0.000, 0.000, 0.497], [0.500, 0.500, 0.777]], "e_form_ev_per_atom": 0.15, "final_energy_ev_per_cell": -27.22, "m_tot_mub_per_atom": 0.957, "n_ef_per_ev_cell": 3.98}

---

29.
{"formula": "ZnCrFe3", "functional": "PBE", "state": "relaxed", "lattice": [[-0.616, 0.970, -4.049], [-4.160, -0.330, 0.554], [-0.189, 4.083, 1.007]], "species": ["Fe", "Fe", "Fe", "Cr", "Zn"], "fractional_positions": [[0.000, 0.000, 0.500], [0.500, 0.000, 0.000], [0.000, 0.500, 0.000], [0.000, 0.000, 0.000], [0.500, 0.500, 0.500]], "e_form_ev_per_atom": 1.09, "final_energy_ev_per_cell": -30.81, "m_tot_mub_per_atom": 0.800, "n_ef_per_ev_cell": 6.21, "e_above_lowest_polymorph_mev_per_atom": 0}